VASP calculation (PBE) on NbZn2Ni after structural relaxation.

Properties
Formation energy ... 0.79 kcal/mol of atoms
Space-group type ... No. 225

a = 4.3055 Å, b = 4.3055 Å, c = 4.3055 Å
α = 60.00°, β = 60.00°, γ = 60.00°
Atoms (fractional coordinates):
Zn 0.5000 0.5000 0.5000
Zn 0.0000 0.0000 0.0000
Nb 0.2500 0.2500 0.2500
Ni 0.7500 0.7500 0.7500

VASP calculation (PBE) on NbZnNi6 after structural relaxation.

Properties
Formation energy ... -5.86 kcal/mol of atoms
Space-group type ... No. 123

a = 3.6420 Å, b = 3.6420 Å, c = 7.1456 Å
α = 90.00°, β = 90.00°, γ = 90.00°
Atoms (fractional coordinates):
Ni 0.5000 0.5000 0.0000
Ni 0.0000 0.5000 0.7459
Ni 0.0000 0.5000 0.2541
Nb 0.0000 0.0000 0.0000
Ni 0.5000 0.5000 0.5000
Ni 0.5000 0.0000 0.2541
Zn 0.0000 0.0000 0.5000
Ni 0.5000 0.0000 0.7459

VASP calculation (PBE) on Nb2ZnNi after structural relaxation.

Properties
Formation energy ... 5.59 kcal/mol of atoms
Relative energy among the computed polymorphs ... 0 meV per atom
Space-group type ... No. 216

a = 4.4569 Å, b = 4.4569 Å, c = 4.4569 Å
α = 60.00°, β = 60.00°, γ = 60.00°
Atoms (fractional coordinates):
Nb 0.7500 0.7500 0.7500
Ni 0.2500 0.2500 0.2500
Zn 0.5000 0.5000 0.5000
Nb 0.0000 0.0000 0.0000

VASP calculation (PBE) on NbZnNi2 after structural relaxation.

Properties
Formation energy ... -1.51 kcal/mol of atoms
Space-group type ... No. 216

a = 4.2260 Å, b = 4.2260 Å, c = 4.2260 Å
α = 60.00°, β = 60.00°, γ = 60.00°
Atoms (fractional coordinates):
Ni 0.0000 0.0000 0.0000
Zn 0.5000 0.5000 0.5000
Ni 0.7500 0.7500 0.7500
Nb 0.2500 0.2500 0.2500

VASP calculation (PBE) on Zr2NbNi after structural relaxation.

Properties
Formation energy ... 2.01 kcal/mol of atoms
Space-group type ... No. 216

a = 4.6647 Å, b = 4.6647 Å, c = 4.6647 Å
α = 60.00°, β = 60.00°, γ = 60.00°
Atoms (fractional coordinates):
Zr 0.7500 0.7500 0.7500
Nb 0.2500 0.2500 0.2500
Ni 0.0000 0.0000 0.0000
Zr 0.5000 0.5000 0.5000

VASP calculation (PBE) on ZrNbNi after structural relaxation.

Properties
Formation energy ... 4.45 kcal/mol of atoms
Relative energy among the computed polymorphs ... 0 meV per atom
Space-group type ... No. 216

a = 4.3170 Å, b = 4.3170 Å, c = 4.3170 Å
α = 60.00°, β = 60.00°, γ = 60.00°
Atoms (fractional coordinates):
Nb 0.2500 0.2500 0.2500
Zr 0.7500 0.7500 0.7500
Ni 0.0000 0.0000 0.0000

VASP calculation (PBE) on ZrNb2Ni after structural relaxation.

Properties
Formation energy ... -0.59 kcal/mol of atoms
Space-group type ... No. 216

a = 4.6021 Å, b = 4.6021 Å, c = 4.6021 Å
α = 60.00°, β = 60.00°, γ = 60.00°
Atoms (fractional coordinates):
Zr 0.5000 0.5000 0.5000
Ni 0.2500 0.2500 0.2500
Nb 0.7500 0.7500 0.7500
Nb 0.0000 0.0000 0.0000

VASP calculation (PBE) on NpNb2 after structural relaxation.

Properties
Formation energy ... 72.05 kcal/mol of atoms
Space-group type ... No. 227

a = 7.7319 Å, b = 7.7319 Å, c = 7.7319 Å
α = 60.00°, β = 60.00°, γ = 60.00°
Atoms (fractional coordinates):
Nb 0.8750 0.3750 0.3750
Np 0.2500 0.2500 0.2500
Nb 0.3750 0.8750 0.3750
Nb 0.3750 0.3750 0.8750
Np 0.5000 0.5000 0.5000
Nb 0.3750 0.3750 0.3750

VASP calculation (PBE) on NpNb after structural relaxation.

Properties
Formation energy ... 44.63 kcal/mol of atoms
Relative energy among the computed polymorphs ... 1561 meV per atom
Space-group type ... No. 216

a = 4.1286 Å, b = 4.1286 Å, c = 4.1286 Å
α = 60.00°, β = 60.00°, γ = 60.00°
Atoms (fractional coordinates):
Np 0.2500 0.2500 0.2500
Nb 0.0000 0.0000 0.0000

VASP calculation (PBE) on NpNb after structural relaxation.

Properties
Formation energy ... 8.63 kcal/mol of atoms
Relative energy among the computed polymorphs ... 0 meV per atom
Space-group type ... No. 187

a = 2.8541 Å, b = 2.8542 Å, c = 5.7028 Å
α = 90.00°, β = 90.00°, γ = 120.00°
Atoms (fractional coordinates):
Np 0.3333 0.6667 0.2500
Nb 0.6667 0.3333 0.7500

VASP calculation (PBE) on NpNb after structural relaxation.

Properties
Formation energy ... 28.00 kcal/mol of atoms
Relative energy among the computed polymorphs ... 840 meV per atom
Space-group type ... No. 225

a = 3.8826 Å, b = 3.8826 Å, c = 3.8826 Å
α = 60.00°, β = 60.00°, γ = 60.00°
Atoms (fractional coordinates):
Nb 0.0000 0.0000 0.0000
Np 0.5000 0.5000 0.5000

VASP calculation (PBE) on NpNbOs after structural relaxation.

Properties
Formation energy ... 9.61 kcal/mol of atoms
Relative energy among the computed polymorphs ... 0 meV per atom
Space-group type ... No. 216

a = 4.4723 Å, b = 4.4723 Å, c = 4.4723 Å
α = 60.00°, β = 60.00°, γ = 60.00°
Atoms (fractional coordinates):
Nb 0.2500 0.2500 0.2500
Os 0.0000 0.0000 0.0000
Np 0.7500 0.7500 0.7500

Record-wise size of the total moment values, in μB per cell: 0.37; 0.13; 1.94; 0.00; 0.00; 0.05; 0.01; 0.01; 1.24; 2.73; 1.84; 3.60
Record-wise final energy values, in eV per atom: -4.5134; -5.8498; -6.5127; -5.6891; -8.1018; -7.8765; -8.6015; -7.8616; -9.4968; -11.0579; -10.2177; -10.9464